Here is crystalline Ba2NaLaRh at its relaxed geometry from the Alexandria database. Energies are from PBE.

Calculated values
Space group ... P4/mmm, No. 123
Raw total energy ... -3.67 eV/atom
V ... 44.26 Å³ per atom
E_form ... -0.18 eV per atom

Cell and atoms, written as extended XYZ:
```
5
Lattice="-1.979 6.083 0.066 -2.066 -0.607 -6.024 -4.837 -1.593 1.820" Properties=species:S:1:pos:R:3 pbc="T T T"
Na -4.441 1.942 -2.069
Rh 0.000 0.000 0.000
Ba -1.033 -0.304 -3.012
Ba -0.989 3.042 0.033
La -2.419 -0.796 0.910
```

Here is crystalline BaNaLa2Rh at its relaxed geometry from the Alexandria database. Energies are from PBE.

Calculated values
Space group ... P4/mmm, No. 123
Raw total energy ... -4.29 eV/atom
V ... 40.48 Å³ per atom
E_form ... -0.20 eV per atom

Cell and atoms, written as extended XYZ:
```
5
Lattice="-3.955 3.536 1.740 1.034 -1.447 5.292 4.422 4.734 0.430" Properties=species:S:1:pos:R:3 pbc="T T T"
Na 0.751 3.412 3.731
Rh 0.000 0.000 0.000
Ba 2.211 2.367 0.215
La 0.517 -0.723 2.646
La -1.977 1.768 0.870
```

Here is crystalline Ba2NaLaRu at its relaxed geometry from the Alexandria database. Energies are from PBE.

Calculated values
Space group ... P4/mmm, No. 123
Raw total energy ... -3.84 eV/atom
V ... 43.01 Å³ per atom
E_form ... 0.04 eV per atom

Cell and atoms, written as extended XYZ:
```
5
Lattice="6.442 0.000 0.000 0.000 6.442 0.000 0.000 0.000 5.181" Properties=species:S:1:pos:R:3 pbc="T T T"
Ru 0.000 0.000 0.000
Na 3.221 3.221 2.591
Ba 0.000 3.221 0.000
Ba 3.221 0.000 0.000
La 0.000 0.000 2.591
```

Here is crystalline BaNaLa2S4 at its relaxed geometry from the Alexandria database. Energies are from PBE.

Calculated values
Space group ... Imma, No. 74
Raw total energy ... -5.66 eV/atom
E_form (uncorrected) ... -1.9586 eV/atom
V ... 27.68 Å³ per atom

Cell and atoms, written as extended XYZ:
```
16
Lattice="-1.341 8.422 -0.691 -3.965 -1.241 -7.480 -2.639 -4.174 6.961" Properties=species:S:1:pos:R:3 pbc="T T T"
Ba -1.982 -0.620 -3.740
Ba -4.643 5.715 -0.950
Na -3.972 1.504 -0.605
Na -3.980 4.248 6.270
La -0.670 4.211 -0.345
La -1.990 2.124 3.135
La -1.320 -2.087 3.480
La -2.653 3.591 -4.085
S -3.437 1.284 -5.766
S -3.159 3.920 1.152
S -4.786 -0.913 -2.362
S -4.508 1.724 4.556
S -4.038 5.241 -6.103
S -5.289 3.260 -2.801
S -2.656 -0.253 1.591
S -3.906 -2.234 4.894
```

Here is crystalline Ba2NaLaSe4 at its relaxed geometry from the Alexandria database. Energies are from PBE.

Calculated values
Space group ... P2/m, No. 10
Raw total energy ... -4.86 eV/atom
E_form (uncorrected) ... -1.8558 eV/atom
V ... 32.95 Å³ per atom

Cell and atoms, written as extended XYZ:
```
8
Lattice="-3.125 -3.021 -1.378 2.302 -4.935 5.600 -5.675 4.578 2.833" Properties=species:S:1:pos:R:3 pbc="T T T"
Ba -4.400 0.778 0.727
Ba -1.686 -0.178 4.216
Na -0.411 -3.978 2.111
La 0.000 0.000 0.000
Se -2.299 -1.643 1.274
Se -4.198 -1.735 5.781
Se -3.801 2.317 3.539
Se 0.428 -2.674 4.893
```

Here is crystalline BaNaLaSe3 at its relaxed geometry from the Alexandria database. Energies are from PBE.

Calculated values
Space group ... P2_1/m, No. 11
Raw total energy ... -4.84 eV/atom
E_form (uncorrected) ... -1.7371 eV/atom
V ... 32.16 Å³ per atom

Cell and atoms, written as extended XYZ:
```
12
Lattice="-2.986 -3.152 -1.162 5.605 -2.845 -6.687 2.600 -5.281 7.641" Properties=species:S:1:pos:R:3 pbc="T T T"
Ba 4.250 -8.697 -0.369
Ba 0.969 -2.581 0.162
Na 1.269 -4.120 3.567
Na 3.950 -7.158 -3.774
La 3.440 -3.564 -3.519
La 1.779 -7.714 3.312
Se 4.819 -5.554 -1.665
Se 3.055 -5.551 -5.833
Se 0.665 -4.467 -2.631
Se 0.400 -5.724 1.458
Se 4.555 -6.811 2.423
Se 2.164 -5.727 5.625
```

Here is crystalline BaNaLa2Se4 at its relaxed geometry from the Alexandria database. Energies are from PBE.

Calculated values
Space group ... Imma, No. 74
Raw total energy ... -5.24 eV/atom
E_form (uncorrected) ... -1.8631 eV/atom
V ... 30.92 Å³ per atom

Cell and atoms, written as extended XYZ:
```
16
Lattice="8.875 0.005 -0.009 -0.002 8.875 -0.009 -4.414 -4.417 6.289" Properties=species:S:1:pos:R:3 pbc="T T T"
Ba -0.001 4.438 -0.004
Ba 6.668 2.234 3.131
Na 2.230 2.232 3.135
Na 4.462 -4.412 6.280
La 4.438 0.002 -0.004
La 2.231 -2.206 3.140
La -2.207 -2.208 3.144
La 4.437 4.440 -0.009
Se 2.330 6.693 0.094
Se 4.414 -0.098 3.032
Se 0.046 4.562 3.239
Se 2.130 -2.230 6.177
Se 6.533 6.693 0.052
Se 4.415 4.573 3.066
Se 0.045 -0.110 3.205
Se -2.073 -2.230 6.219
```

Here is crystalline Ba4NaLa3Se8 at its relaxed geometry from the Alexandria database. Energies are from PBE.

Calculated values
Space group ... R-3m, No. 166
Raw total energy ... -5.16 eV/atom
E_form (uncorrected) ... -1.9348 eV/atom
V ... 32.40 Å³ per atom

Cell and atoms, written as extended XYZ:
```
16
Lattice="8.975 0.000 0.000 0.000 9.059 0.052 -4.488 -4.483 6.350" Properties=species:S:1:pos:R:3 pbc="T T T"
Ba 4.488 0.000 0.000
Ba 2.244 -2.242 3.175
Ba 0.000 0.000 0.000
Ba -2.244 -2.242 3.175
Na 0.000 4.529 0.026
La 4.488 4.529 0.026
La 2.244 2.288 3.201
La -2.244 2.288 3.201
Se -2.205 2.176 6.266
Se 0.000 4.380 3.149
Se 0.000 0.169 3.290
Se 2.205 2.176 6.266
Se 2.283 2.400 0.136
Se 4.488 4.406 3.112
Se 4.488 0.196 3.254
Se 6.692 2.400 0.136
```